# 1
# Ga2Pd9Au GGA-PBE relaxed
# Total magnetization: 0.0000 μB/atom
# E_tot: -4.9826 eV/atom
# ΔH_f (0 K): -0.310 eV per atom
data_Ga2Pd9Au
_cell_length_a 3.974
_cell_length_b 3.974
_cell_length_c 11.691
_cell_angle_alpha 90.00
_cell_angle_beta 90.00
_cell_angle_gamma 90.00
_symmetry_space_group_name_H-M 'P 4/m m m'
_symmetry_Int_Tables_number 123
_symmetry_space_group_name_Hall '-P 4 2'
loop_
_atom_site_label
_atom_site_fract_x
_atom_site_fract_y
_atom_site_fract_z
_atom_site_occupancy
Ga1 0.000 0.000 0.165 1
Pd1 0.000 0.500 0.000 1
Pd2 0.000 0.500 0.326 1
Pd3 0.500 0.500 0.163 1
Pd4 0.500 0.500 0.500 1
Au1 0.000 0.000 0.500 1

***

# 2
# Ga2Pd8Au GGA-PBE relaxed
# Energy above the most stable polymorph in this dataset: 0 meV/atom
# Total magnetization: 0.0000 μB/atom
# E_tot: -4.9910 eV/atom
# ΔH_f (0 K): -0.366 eV per atom
data_Ga2Pd8Au
_cell_length_a 13.885
_cell_length_b 4.062
_cell_length_c 6.421
_cell_angle_alpha 90.00
_cell_angle_beta 110.21
_cell_angle_gamma 90.00
_symmetry_space_group_name_H-M 'C 1 2/m 1'
_symmetry_Int_Tables_number 12
loop_
_symmetry_equiv_pos_as_xyz
'x,y,z'
'-x,-y,-z'
'-x,y,-z'
'x,-y,z'
'x+1/2,y+1/2,z'
'-x+1/2,-y+1/2,-z'
'-x+1/2,y+1/2,-z'
'x+1/2,-y+1/2,z'
loop_
_atom_site_label
_atom_site_fract_x
_atom_site_fract_y
_atom_site_fract_z
_atom_site_occupancy
Ga1 0.217 0.000 0.161 1
Pd1 0.042 0.000 0.228 1
Pd2 0.104 0.500 0.970 1
Pd3 0.154 0.000 0.721 1
Pd4 0.180 0.500 0.425 1
Au1 0.000 0.500 0.500 1

***

# 3
# GaPd5Au8 GGA-PBE relaxed
# Total magnetization: 0.0000 μB/atom
# E_tot: -3.9405 eV/atom
# ΔH_f (0 K): 0.003 eV per atom
data_GaPd5Au8
_cell_length_a 7.907
_cell_length_b 7.907
_cell_length_c 8.011
_cell_angle_alpha 90.00
_cell_angle_beta 90.00
_cell_angle_gamma 90.00
_symmetry_space_group_name_H-M 'I -4'
_symmetry_Int_Tables_number 82
loop_
_symmetry_equiv_pos_as_xyz
'x,y,z'
'y,-x,-z'
'-x,-y,z'
'-y,x,-z'
'x+1/2,y+1/2,z+1/2'
'y+1/2,-x+1/2,-z+1/2'
'-x+1/2,-y+1/2,z+1/2'
'-y+1/2,x+1/2,-z+1/2'
loop_
_atom_site_label
_atom_site_fract_x
_atom_site_fract_y
_atom_site_fract_z
_atom_site_occupancy
Ga1 0.000 0.000 0.000 1
Pd1 0.000 0.500 0.750 1
Pd2 0.103 0.694 0.341 1
Au1 0.062 0.834 0.666 1
Au2 0.110 0.700 0.001 1

***

# 4
# Ga2PdAu7 GGA-PBE relaxed
# Total magnetization: 0.0000 μB/atom
# E_tot: -3.4440 eV/atom
# ΔH_f (0 K): -0.025 eV per atom
data_Ga2PdAu7
_cell_length_a 8.635
_cell_length_b 15.529
_cell_length_c 2.953
_cell_angle_alpha 90.00
_cell_angle_beta 90.00
_cell_angle_gamma 90.00
_symmetry_space_group_name_H-M 'C m m m'
_symmetry_Int_Tables_number 65
_symmetry_space_group_name_Hall '-C 2 2'
loop_
_atom_site_label
_atom_site_fract_x
_atom_site_fract_y
_atom_site_fract_z
_atom_site_occupancy
Ga1 0.000 0.173 0.000 1
Pd1 0.000 0.500 0.500 1
Au1 0.000 0.000 0.000 1
Au2 0.000 0.310 0.500 1
Au3 0.230 0.404 0.000 1

***

# 5
# Ga2Pd2Au GGA-PBE relaxed
# Energy above the most stable polymorph in this dataset: 0 meV/atom
# Total magnetization: 0.0000 μB/atom
# E_tot: -4.4184 eV/atom
# ΔH_f (0 K): -0.475 eV per atom
data_Ga2Pd2Au
_cell_length_a 7.258
_cell_length_b 7.258
_cell_length_c 3.015
_cell_angle_alpha 90.00
_cell_angle_beta 90.00
_cell_angle_gamma 90.00
_symmetry_space_group_name_H-M 'P 4/m b m'
_symmetry_Int_Tables_number 127
_symmetry_space_group_name_Hall '-P 4 2ab'
loop_
_atom_site_label
_atom_site_fract_x
_atom_site_fract_y
_atom_site_fract_z
_atom_site_occupancy
Ga1 0.149 0.351 0.000 1
Pd1 0.146 0.646 0.500 1
Au1 0.000 0.000 0.000 1

***

# 6
# GaPd7Au2 GGA-PBE relaxed
# Total magnetization: 0.0001 μB/atom
# E_tot: -4.3241 eV/atom
# ΔH_f (0 K): 0.269 eV per atom
data_GaPd7Au2
_cell_length_a 7.306
_cell_length_b 13.297
_cell_length_c 4.259
_cell_angle_alpha 90.00
_cell_angle_beta 90.00
_cell_angle_gamma 90.00
_symmetry_space_group_name_H-M 'C m m m'
_symmetry_Int_Tables_number 65
_symmetry_space_group_name_Hall '-C 2 2'
loop_
_atom_site_label
_atom_site_fract_x
_atom_site_fract_y
_atom_site_fract_z
_atom_site_occupancy
Ga1 0.000 0.000 0.000 1
Pd1 0.000 0.182 0.000 1
Pd2 0.000 0.500 0.500 1
Pd3 0.182 0.100 0.500 1
Au1 0.000 0.299 0.500 1

***

# 7
# Ga2Pd12Au5 GGA-PBE relaxed
# Energy above the most stable polymorph in this dataset: 0 meV/atom
# Total magnetization: 0.0000 μB/atom
# E_tot: -4.6447 eV/atom
# ΔH_f (0 K): -0.184 eV per atom
data_Ga2Pd12Au5
_cell_length_a 13.443
_cell_length_b 9.253
_cell_length_c 5.065
_cell_angle_alpha 90.00
_cell_angle_beta 101.19
_cell_angle_gamma 90.00
_symmetry_space_group_name_H-M 'C 1 2/m 1'
_symmetry_Int_Tables_number 12
loop_
_symmetry_equiv_pos_as_xyz
'x,y,z'
'-x,-y,-z'
'-x,y,-z'
'x,-y,z'
'x+1/2,y+1/2,z'
'-x+1/2,-y+1/2,-z'
'-x+1/2,y+1/2,-z'
'x+1/2,-y+1/2,z'
loop_
_atom_site_label
_atom_site_fract_x
_atom_site_fract_y
_atom_site_fract_z
_atom_site_occupancy
Ga1 0.000 0.246 0.000 1
Pd1 0.052 0.000 0.282 1
Pd2 0.098 0.244 0.639 1
Pd3 0.104 0.500 0.009 1
Pd4 0.193 0.247 0.209 1
Au1 0.000 0.500 0.500 1
Au2 0.179 0.000 0.886 1
Au3 0.216 0.500 0.550 1

***

# 8
# Ga2PdAu GGA-PBE relaxed
# Energy above the most stable polymorph in this dataset: 649 meV/atom
# Total magnetization: 0.0000 μB/atom
# E_tot: -3.3508 eV/atom
# ΔH_f (0 K): 0.280 eV per atom
data_Ga2PdAu
_cell_length_a 4.3341
_cell_length_b 4.3341
_cell_length_c 18.9989
_cell_angle_alpha 90.00
_cell_angle_beta 90.00
_cell_angle_gamma 120.00
_symmetry_space_group_name_H-M 'R -3 m'
_symmetry_Int_Tables_number 166
_symmetry_space_group_name_Hall '-R 3 2"'
loop_
_atom_site_label
_atom_site_fract_x
_atom_site_fract_y
_atom_site_fract_z
_atom_site_occupancy
Ga1 0.0000 0.0000 0.1276 1
Pd1 0.0000 0.0000 0.0000 1
Au1 0.0000 0.0000 0.5000 1